The following is a DFT calculation (PBE with a Hubbard U) of a relaxed VPdN2F crystal.

Structure (CIF):
```
data_VPdN2F
_chemical_formula_sum 'V1 Pd1 N2 F1'
_cell_length_a 3.855
_cell_length_b 3.855
_cell_length_c 3.818
_cell_angle_alpha 90.00
_cell_angle_beta 90.00
_cell_angle_gamma 90.00
_space_group_name_H-M_alt 'P 4/m m m'
_space_group_IT_number 123
_space_group_name_Hall '-P 4 2'
loop_
_atom_site_label
_atom_site_fract_x
_atom_site_fract_y
_atom_site_fract_z
V1 0.000 0.000 0.000
Pd1 0.500 0.500 0.500
N1 0.000 0.500 0.000
F1 0.000 0.000 0.500
```

* E above lowest polymorph: 0.0 meV per atom
* density: 5.98 g/cm³